1.
The following is a PBE calculation of LiCrP2 after structural relaxation, from Alexandria.

Geometry as CIF:
```
data_LiCrP2
_chemical_formula_sum 'Li1 Cr1 P2'
_cell_length_a 2.897
_cell_length_b 2.897
_cell_length_c 6.351
_cell_angle_alpha 90.00
_cell_angle_beta 90.00
_cell_angle_gamma 90.00
_space_group_name_H-M_alt 'P 4/m m m'
_space_group_IT_number 123
_space_group_name_Hall '-P 4 2'
loop_
_atom_site_label
_atom_site_type_symbol
_atom_site_fract_x
_atom_site_fract_y
_atom_site_fract_z
Li1 Li 0.000 0.000 0.000
Cr1 Cr 0.000 0.000 0.500
P1 P 0.500 0.500 0.295
```

Computed properties:
spin magnetization	0.0003	μB/atom
ΔE to the lowest computed polymorph	46	meV/atom
energy of formation from the pure elements	-337.3	meV/atom

***

2.
The following is a PBE calculation of Li2CrP after structural relaxation, from Alexandria.

Geometry as CIF:
```
data_Li2CrP
_chemical_formula_sum 'Li4 Cr2 P2'
_cell_length_a 3.198
_cell_length_b 3.707
_cell_length_c 8.572
_cell_angle_alpha 90.00
_cell_angle_beta 90.00
_cell_angle_gamma 90.00
_space_group_name_H-M_alt 'C m m m'
_space_group_IT_number 65
_space_group_name_Hall '-C 2 2'
loop_
_atom_site_label
_atom_site_type_symbol
_atom_site_fract_x
_atom_site_fract_y
_atom_site_fract_z
Li1 Li 0.000 0.000 0.230
Cr1 Cr 0.000 0.500 0.500
P1 P 0.000 0.500 0.000
```

Computed properties:
spin magnetization	0.0415	μB/atom
energy of formation from the pure elements	149.8	meV/atom

***

3.
The following is a PBE calculation of LiCrP2 after structural relaxation, from Alexandria.

Geometry as CIF:
```
data_LiCrP2
_chemical_formula_sum 'Li4 Cr4 P8'
_cell_length_a 5.939
_cell_length_b 5.939
_cell_length_c 5.939
_cell_angle_alpha 90.00
_cell_angle_beta 90.00
_cell_angle_gamma 90.00
_space_group_name_H-M_alt 'F m -3 m'
_space_group_IT_number 225
_space_group_name_Hall '-F 4 2 3'
loop_
_atom_site_label
_atom_site_type_symbol
_atom_site_fract_x
_atom_site_fract_y
_atom_site_fract_z
Li1 Li 0.000 0.000 0.000
Cr1 Cr 0.000 0.000 0.500
P1 P 0.250 0.250 0.250
```

Computed properties:
spin magnetization	0.5594	μB/atom
ΔE to the lowest computed polymorph	227	meV/atom
energy of formation from the pure elements	-156.4	meV/atom

***

4.
The following is a PBE calculation of LiCrP2 after structural relaxation, from Alexandria.

Geometry as CIF:
```
data_LiCrP2
_chemical_formula_sum 'Li2 Cr2 P4'
_cell_length_a 7.391
_cell_length_b 3.034
_cell_length_c 5.222
_cell_angle_alpha 90.00
_cell_angle_beta 103.78
_cell_angle_gamma 90.00
_space_group_name_H-M_alt 'C 1 2/m 1'
_space_group_IT_number 12
loop_
_space_group_symop_operation_xyz
'x,y,z'
'-x,-y,-z'
'-x,y,-z'
'x,-y,z'
'x+1/2,y+1/2,z'
'-x+1/2,-y+1/2,-z'
'-x+1/2,y+1/2,-z'
'x+1/2,-y+1/2,z'
loop_
_atom_site_label
_atom_site_type_symbol
_atom_site_fract_x
_atom_site_fract_y
_atom_site_fract_z
Li1 Li 0.000 0.000 0.000
Cr1 Cr 0.000 0.500 0.500
P1 P 0.237 0.000 0.677
```

Computed properties:
spin magnetization	0.1640	μB/atom
ΔE to the lowest computed polymorph	99	meV/atom
energy of formation from the pure elements	-283.9	meV/atom

***

Question: Which of these has the highest energy of formation from the pure elements?
Answer: Li2CrP

***

Question: The highest spin magnetization belongs to which entry?
Answer: number 3